1.
DFT (PBE) results for an optimized crystal structure of Er2Mo.

As for the energy relative to the lowest polymorph listed for this composition: 0.000 eV/atom. For the raw total energy, the calculation gives -5.54 eV/atom. The calculated formation energy comes out at 1.121 eV per atom.

The space group is Fd-3m (No. 227, origin choice 2) and the conventional cell measures 8.297, 8.297 and 8.297 Å, with angles of 90.00, 90.00 and 90.00 degrees. Symmetry generates all atoms from Er at (0.000, 0.000, 0.000) and Mo at (0.125, 0.125, 0.625).

2.
DFT (PBE) results for an optimized crystal structure of Er2Mo.

As for the energy relative to the lowest polymorph listed for this composition: 0.842 eV/atom. For the raw total energy, the calculation gives -4.70 eV/atom. The calculated formation energy comes out at 1.963 eV per atom.

The space group is Fd-3m (No. 227, origin choice 2) and the conventional cell measures 11.491, 11.491 and 11.491 Å, with angles of 90.00, 90.00 and 90.00 degrees. Symmetry generates all atoms from Er at (0.000, 0.000, 0.000) and Mo at (0.125, 0.125, 0.125).

3.
DFT (PBE) results for an optimized crystal structure of Er3Re3Mo2N12.

For the raw total energy, the calculation gives -9.20 eV/atom.

The space group is Ia-3d (No. 230) and the conventional cell measures 12.632, 12.632 and 12.632 Å, with angles of 90.00, 90.00 and 90.00 degrees. Symmetry generates all atoms from Er at (0.000, 0.250, 0.125), Re at (0.000, 0.250, 0.375), Mo at (0.000, 0.000, 0.000) and N at (0.032, 0.054, 0.651).

4.
DFT (PBE) results for an optimized crystal structure of Er3Sb3Mo2N12.

For the raw total energy, the calculation gives -7.63 eV/atom.

The space group is Ia-3d (No. 230) and the conventional cell measures 12.784, 12.784 and 12.784 Å, with angles of 90.00, 90.00 and 90.00 degrees. Symmetry generates all atoms from Er at (0.000, 0.250, 0.125), Sb at (0.000, 0.250, 0.375), Mo at (0.000, 0.000, 0.000) and N at (0.028, 0.060, 0.645).

5.
DFT (PBE) results for an optimized crystal structure of Er3Mo2W3N12.

For the raw total energy, the calculation gives -9.45 eV/atom.

The space group is Ia-3d (No. 230) and the conventional cell measures 12.674, 12.674 and 12.674 Å, with angles of 90.00, 90.00 and 90.00 degrees. Symmetry generates all atoms from Er at (0.000, 0.250, 0.125), Mo at (0.000, 0.000, 0.000), W at (0.000, 0.250, 0.375) and N at (0.031, 0.056, 0.650).

6.
DFT (PBE) results for an optimized crystal structure of Er3Mo3W2N12.

For the raw total energy, the calculation gives -9.34 eV/atom.

The space group is Ia-3d (No. 230) and the conventional cell measures 12.614, 12.614 and 12.614 Å, with angles of 90.00, 90.00 and 90.00 degrees. Symmetry generates all atoms from Er at (0.000, 0.250, 0.125), Mo at (0.000, 0.250, 0.375), W at (0.000, 0.000, 0.000) and N at (0.031, 0.055, 0.649).

7.
DFT (PBE) results for an optimized crystal structure of ErNbMo.

As for the energy relative to the lowest polymorph listed for this composition: 0.748 eV/atom. For the raw total energy, the calculation gives -6.92 eV/atom. The calculated formation energy comes out at 1.579 eV per atom.

The space group is F-43m (No. 216) and the conventional cell measures 6.513, 6.513 and 6.513 Å, with angles of 90.00, 90.00 and 90.00 degrees. Symmetry generates all atoms from Er at (0.000, 0.000, 0.000), Nb at (0.250, 0.250, 0.250) and Mo at (0.250, 0.250, 0.750).

8.
DFT (PBE) results for an optimized crystal structure of ErNbMo.

As for the energy relative to the lowest polymorph listed for this composition: 0.000 eV/atom. For the raw total energy, the calculation gives -7.67 eV/atom. The calculated formation energy comes out at 0.832 eV per atom.

The space group is F-43m (No. 216) and the conventional cell measures 6.467, 6.467 and 6.467 Å, with angles of 90.00, 90.00 and 90.00 degrees. Symmetry generates all atoms from Er at (0.000, 0.000, 0.000), Nb at (0.250, 0.250, 0.250) and Mo at (0.000, 0.000, 0.500).